# 1
Here is a geometry-optimized Be2NbCr2 structure from Alexandria via LeMat-Bulk. Energies are from PBE.

Magnetic moment   0.000 μB/f.u.
Energy relative to the elements   0.07 eV/f.u.
Energy   -7.340 eV/atom

CIF file:
```
data_Be2NbCr2
_chemical_formula_sum 'Be4 Nb2 Cr4'
_cell_length_a 6.1688
_cell_length_b 6.1688
_cell_length_c 3.0314
_cell_angle_alpha 90.00
_cell_angle_beta 90.00
_cell_angle_gamma 90.00
_space_group_name_H-M_alt 'P 4/m b m'
_space_group_IT_number 127
_space_group_name_Hall '-P 4 2ab'
loop_
_atom_site_label
_atom_site_type_symbol
_atom_site_fract_x
_atom_site_fract_y
_atom_site_fract_z
Be1 Be 0.1154 0.3846 0.0000
Nb1 Nb 0.0000 0.0000 0.0000
Cr1 Cr 0.1760 0.6760 0.5000
```


# 2
Here is a geometry-optimized Be2NbCr structure from Alexandria via LeMat-Bulk. Energies are from PBE.

Magnetic moment   0.000 μB/f.u.
Energy relative to the elements   0.65 eV/f.u.
Energy   -6.623 eV/atom

CIF file:
```
data_Be2NbCr
_chemical_formula_sum 'Be8 Nb4 Cr4'
_cell_length_a 5.7160
_cell_length_b 5.7160
_cell_length_c 5.7160
_cell_angle_alpha 90.00
_cell_angle_beta 90.00
_cell_angle_gamma 90.00
_space_group_name_H-M_alt 'F m -3 m'
_space_group_IT_number 225
_space_group_name_Hall '-F 4 2 3'
loop_
_atom_site_label
_atom_site_type_symbol
_atom_site_fract_x
_atom_site_fract_y
_atom_site_fract_z
Be1 Be 0.2500 0.2500 0.2500
Nb1 Nb 0.0000 0.0000 0.0000
Cr1 Cr 0.0000 0.0000 0.5000
```